1.
DFT (PBE-GGA) results for crystalline Sb2MoPtS at its relaxed geometry.

Size of the total moment   3.9 μB/cell
Final energy   -4.79 eV/atom
N(E_F)   4.36 states/eV per cell
Calculated volume   138.4 Å³ per cell
E_form (uncorrected)   1054 meV per atom

Lattice parameters (Å, degrees): 5.071 5.071 5.383 90.00 90.00 90.00
Space group P4/mmm (No. 123)
Inequivalent atoms, fractional coordinates:
Sb 0.000 0.500 0.000
Mo 0.000 0.000 0.500
Pt 0.000 0.000 0.000
S 0.500 0.500 0.500

***

2.
DFT (PBE-GGA) results for crystalline SbMoPtS2 at its relaxed geometry.

Size of the total moment   3.6 μB/cell
Final energy   -4.70 eV/atom
N(E_F)   4.89 states/eV per cell
Calculated volume   124.2 Å³ per cell
E_form (uncorrected)   1152 meV per atom

Lattice parameters (Å, degrees): 4.990 4.990 4.990 90.00 90.00 90.00
Space group P4/mmm (No. 123)
Inequivalent atoms, fractional coordinates:
Sb 0.000 0.000 0.000
Mo 0.500 0.500 0.500
Pt 0.000 0.000 0.500
S 0.000 0.500 0.000

***

3.
DFT (PBE-GGA) results for crystalline Sn2MoPtS at its relaxed geometry.

Size of the total moment   0.0 μB/cell
Final energy   -5.31 eV/atom
N(E_F)   2.82 states/eV per cell
Calculated volume   123.8 Å³ per cell
E_form (uncorrected)   488 meV per atom

Lattice parameters (Å, degrees): 5.312 5.312 4.388 90.00 90.00 90.00
Space group P4/mmm (No. 123)
Inequivalent atoms, fractional coordinates:
Sn 0.000 0.500 0.000
Mo 0.000 0.000 0.000
Pt 0.500 0.500 0.500
S 0.000 0.000 0.500

***

4.
DFT (PBE-GGA) results for crystalline SnMoPtS2 at its relaxed geometry.

Size of the total moment   0.0 μB/cell
Final energy   -5.38 eV/atom
N(E_F)   5.76 states/eV per cell
Calculated volume   117.3 Å³ per cell
E_form (uncorrected)   447 meV per atom

Lattice parameters (Å, degrees): 4.485 4.485 5.831 90.00 90.00 90.00
Space group P4/mmm (No. 123)
Inequivalent atoms, fractional coordinates:
Sn 0.000 0.000 0.000
Mo 0.000 0.000 0.500
Pt 0.500 0.500 0.000
S 0.000 0.500 0.500

***

5.
DFT (PBE-GGA) results for crystalline MoPt2WS at its relaxed geometry.

Size of the total moment   1.9 μB/cell
Final energy   -7.19 eV/atom
N(E_F)   3.02 states/eV per cell
Calculated volume   88.1 Å³ per cell
E_form (uncorrected)   809 meV per atom

Lattice parameters (Å, degrees): 4.466 4.466 4.421 90.00 90.00 90.00
Space group P4/mmm (No. 123)
Inequivalent atoms, fractional coordinates:
Mo 0.000 0.000 0.000
Pt 0.000 0.500 0.500
W 0.500 0.500 0.000
S 0.500 0.500 0.500

***

6.
DFT (PBE-GGA) results for crystalline SbMoPt at its relaxed geometry.

Size of the total moment   0.0 μB/cell
Final energy   -6.79 eV/atom
N(E_F)   3.72 states/eV per cell
Calculated volume   53.6 Å³ per cell
E_form (uncorrected)   212 meV per atom

Lattice parameters (Å, degrees): 4.5228 4.5228 3.0251 90.00 90.00 120.00
Space group P3m1 (No. 156)
Inequivalent atoms, fractional coordinates:
Sb 0.0000 0.0000 0.0000
Mo 0.6667 0.3333 0.3336
Pt 0.3333 0.6667 0.8072

***

7.
DFT (PBE-GGA) results for crystalline Sb3MoPt at its relaxed geometry.

Size of the total moment   3.1 μB/cell
Final energy   -4.87 eV/atom
Excess energy over the best structure of this formula in the dataset   25.4 kJ/mol of atoms
N(E_F)   2.39 states/eV per cell
Calculated volume   142.1 Å³ per cell
E_form (uncorrected)   976 meV per atom

Lattice parameters (Å, degrees): 5.218 5.218 5.218 90.00 90.00 90.00
Space group Pm-3m (No. 221)
Inequivalent atoms, fractional coordinates:
Sb 0.000 0.000 0.500
Mo 0.500 0.500 0.500
Pt 0.000 0.000 0.000

***

8.
DFT (PBE-GGA) results for crystalline Sb4MoPt at its relaxed geometry.

Size of the total moment   12.1 μB/cell
Final energy   -4.53 eV/atom
N(E_F)   18.11 states/eV per cell
Calculated volume   609.8 Å³ per cell
E_form (uncorrected)   1035 meV per atom

Lattice parameters (Å, degrees): 8.480 8.480 8.480 90.00 90.00 90.00
Space group F-43m (No. 216)
Inequivalent atoms, fractional coordinates:
Sb 0.125 0.125 0.125
Mo 0.250 0.250 0.750
Pt 0.000 0.000 0.500

***

9.
DFT (PBE-GGA) results for crystalline SbMo3Pt at its relaxed geometry.

Size of the total moment   2.4 μB/cell
Final energy   -6.98 eV/atom
Excess energy over the best structure of this formula in the dataset   0.0 kJ/mol of atoms
N(E_F)   6.58 states/eV per cell
Calculated volume   112.8 Å³ per cell
E_form (uncorrected)   1550 meV per atom

Lattice parameters (Å, degrees): 4.831 4.831 4.831 90.00 90.00 90.00
Space group Pm-3m (No. 221)
Inequivalent atoms, fractional coordinates:
Sb 0.000 0.000 0.000
Mo 0.000 0.500 0.500
Pt 0.500 0.500 0.500

***

10.
DFT (PBE-GGA) results for crystalline SbMoPt at its relaxed geometry.

Size of the total moment   0.0 μB/cell
Final energy   -6.77 eV/atom
N(E_F)   12.87 states/eV per cell
Calculated volume   227.9 Å³ per cell
E_form (uncorrected)   225 meV per atom

Lattice parameters (Å, degrees): 13.431 3.289 5.159 90.00 90.00 90.00
Space group Amm2 (No. 38)
Inequivalent atoms, fractional coordinates:
Sb 0.191 0.000 0.000
Mo 0.348 0.000 0.650
Pt 0.000 0.000 0.983
Pt 0.500 0.000 0.995

***

11.
DFT (PBE-GGA) results for crystalline SbMoPt at its relaxed geometry.

Size of the total moment   0.0 μB/cell
Final energy   -6.80 eV/atom
N(E_F)   5.98 states/eV per cell
Calculated volume   107.9 Å³ per cell
E_form (uncorrected)   199 meV per atom

Lattice parameters (Å, degrees): 2.937 4.089 8.985 90.00 90.00 90.00
Space group Imm2 (No. 44)
Inequivalent atoms, fractional coordinates:
Sb 0.000 0.000 0.000
Mo 0.000 0.000 0.683
Pt 0.000 0.000 0.322

***

12.
DFT (PBE-GGA) results for crystalline Sb3MoPt12 at its relaxed geometry.

Size of the total moment   0.0 μB/cell
Final energy   -6.20 eV/atom
N(E_F)   11.31 states/eV per cell
Calculated volume   543.5 Å³ per cell
E_form (uncorrected)   -218 meV per atom

Lattice parameters (Å, degrees): 5.617 5.622 17.209 90.00 90.00 90.00
Space group C2/m (No. 12)
Inequivalent atoms, fractional coordinates:
Sb 0.000 0.000 0.000
Sb 0.001 0.500 0.763
Mo 0.000 0.500 0.500
Pt 0.000 0.000 0.500
Pt 0.000 0.500 0.000
Pt 0.001 0.000 0.727
Pt 0.250 0.250 0.126
Pt 0.250 0.250 0.389

***

Among the records above, which one has the highest calculated volume?
Sb4MoPt